## GeSbTe3 (PBE)

Data for a geometry-optimized GeSbTe3 structure.

Calculated values
- Space-group type: P2_1/m
- N(E_F): 5.838 states/eV per cell
- DFT total energy: -3.701 eV/atom
- Polymorph energy (0 for the lowest one): 0.000 eV/f.u.
- Formation energy from raw total energies: -0.07 eV per atom

Cell: 7.1430 4.1690 10.5429 Å, 90.00 93.42 90.00°
Atoms (fractional coordinates):
1 Ge 0.1022 0.2500 0.2058
2 Ge 0.8978 0.7500 0.7942
3 Sb 0.4008 0.2500 0.8236
4 Sb 0.5992 0.7500 0.1764
5 Te 0.0476 0.2500 0.6506
6 Te 0.2318 0.7500 0.0025
7 Te 0.4440 0.2500 0.3501
8 Te 0.5560 0.7500 0.6499
9 Te 0.7682 0.2500 0.9975
10 Te 0.9524 0.7500 0.3494


## Y2RhCl (PBE)

Data for a geometry-optimized Y2RhCl structure.

Calculated values
- Space-group type: R-3m
- N(E_F): 1.198 states/eV per cell
- DFT total energy: -6.690 eV/atom
- Polymorph energy (0 for the lowest one): 0.000 eV/f.u.
- Formation energy from raw total energies: -1.16 eV per atom

Cell: 7.7530 7.7530 7.7530 Å, 29.67 29.67 29.67°
Atoms (fractional coordinates):
1 Y 0.2344 0.2344 0.2344
2 Y 0.7656 0.7656 0.7656
3 Rh 0.5000 0.5000 0.5000
4 Cl 0.0000 0.0000 0.0000


## KAsAu3 (PBE)

Data for a geometry-optimized KAsAu3 structure.

Calculated values
- Space-group type: Cmcm
- Energy of formation from the pure elements: -0.20 eV per atom
- N(E_F): 4.585 states/eV per cell
- DFT total energy: -3.315 eV/atom
- Polymorph energy (0 for the lowest one): 0.000 eV/f.u.

Cell: 6.3201 6.3201 6.4611 Å, 90.00 90.00 115.62°
Atoms (fractional coordinates):
1 K 0.2390 0.7610 0.7500
2 K 0.7610 0.2390 0.2500
3 As 0.0845 0.9155 0.2500
4 As 0.9155 0.0845 0.7500
5 Au 0.2907 0.2907 0.0000
6 Au 0.2907 0.2907 0.5000
7 Au 0.3189 0.6811 0.2500
8 Au 0.6811 0.3189 0.7500
9 Au 0.7093 0.7093 0.0000
10 Au 0.7093 0.7093 0.5000


## DySi2OsRu (PBE)

Data for a geometry-optimized DySi2OsRu structure.

Calculated values
- Space-group type: I-4m2
- N(E_F): 1.947 states/eV per cell
- DFT total energy: -8.015 eV/atom
- Formation energy from raw total energies: -0.82 eV per atom

Cell: 5.6338 5.6338 5.6338 Å, 136.46 136.46 63.28°
Atoms (fractional coordinates):
1 Dy 0.0000 0.0000 0.0000
2 Si 0.3704 0.3704 0.0000
3 Si 0.6296 0.6296 0.0000
4 Os 0.7500 0.2500 0.5000
5 Ru 0.2500 0.7500 0.5000


## PmDySc (PBE)

Data for a geometry-optimized PmDySc structure.

Calculated values
- Space-group type: I4mm
- Energy of formation from the pure elements: 0.05 eV per atom
- N(E_F): 4.833 states/eV per cell
- DFT total energy: -5.178 eV/atom
- Polymorph energy (0 for the lowest one): 0.000 eV/f.u.

Cell: 7.7139 7.7139 7.7139 Å, 153.69 153.69 37.55°
Atoms (fractional coordinates):
1 Pm 0.0000 0.0000 0.0000
2 Dy 0.6778 0.6778 0.0000
3 Sc 0.3370 0.3370 0.0000


## CeHoN2 (PBE)

Data for a geometry-optimized CeHoN2 structure.

Calculated values
- Space-group type: P-3m1
- N(E_F): 3.310 states/eV per cell
- DFT total energy: -8.039 eV/atom
- Formation energy from raw total energies: -1.25 eV per atom

Cell: 3.4512 3.4512 6.0537 Å, 90.00 90.00 120.00°
Atoms (fractional coordinates):
1 Ce 0.0000 0.0000 0.0000
2 Ho 0.0000 0.0000 0.5000
3 N 0.3333 0.6667 0.7436
4 N 0.6667 0.3333 0.2564


## Sr4PPt (PBE)

Data for a geometry-optimized Sr4PPt structure.

Calculated values
- Space-group type: F-43m
- Energy of formation from the pure elements: 0.55 eV per atom
- N(E_F): 5.279 states/eV per cell
- DFT total energy: -2.480 eV/atom

Cell: 6.4728 6.4728 6.4728 Å, 60.00 60.00 60.00°
Atoms (fractional coordinates):
1 Sr 0.1249 0.1249 0.1249
2 Sr 0.1249 0.1249 0.6253
3 Sr 0.1249 0.6253 0.1249
4 Sr 0.6253 0.1249 0.1249
5 P 0.7500 0.7500 0.7500
6 Pt 0.5000 0.5000 0.5000


## Ho5Al3In (PBE)

Data for a geometry-optimized Ho5Al3In structure.

Calculated values
- Space-group type: P6_3/mcm
- Energy of formation from the pure elements: -0.34 eV per atom
- N(E_F): 13.735 states/eV per cell
- DFT total energy: -4.430 eV/atom

Cell: 9.0289 9.0289 6.4685 Å, 90.00 90.00 120.00°
Atoms (fractional coordinates):
1 Ho 0.0000 0.2991 0.2500
2 Ho 0.0000 0.7009 0.7500
3 Ho 0.2991 0.0000 0.2500
4 Ho 0.2991 0.2991 0.7500
5 Ho 0.3333 0.6667 0.0000
6 Ho 0.3333 0.6667 0.5000
7 Ho 0.6667 0.3333 0.0000
8 Ho 0.6667 0.3333 0.5000
9 Ho 0.7009 0.0000 0.7500
10 Ho 0.7009 0.7009 0.2500
11 Al 0.0000 0.3656 0.7500
12 Al 0.0000 0.6344 0.2500
13 Al 0.3656 0.0000 0.7500
14 Al 0.3656 0.3656 0.2500
15 Al 0.6344 0.0000 0.2500
16 Al 0.6344 0.6344 0.7500
17 In 0.0000 0.0000 0.0000
18 In 0.0000 0.0000 0.5000


Q: What is the formula in the second record?
A: Y2RhCl


Q: DFT total energy of number 4 (DySi2OsRu)?
A: -8.015 eV/atom


Please write out number 6 again, unchanged.
## CeHoN2 (PBE)

Data for a geometry-optimized CeHoN2 structure.

Calculated values
- Space-group type: P-3m1
- N(E_F): 3.310 states/eV per cell
- DFT total energy: -8.039 eV/atom
- Formation energy from raw total energies: -1.25 eV per atom

Cell: 3.4512 3.4512 6.0537 Å, 90.00 90.00 120.00°
Atoms (fractional coordinates):
1 Ce 0.0000 0.0000 0.0000
2 Ho 0.0000 0.0000 0.5000
3 N 0.3333 0.6667 0.7436
4 N 0.6667 0.3333 0.2564


Q: Look up the N(E_F) of the third one.
A: 4.585 states/eV per cell